1.
Density functional theory data (PBE) for a geometry-optimized Tm2LuSb structure.

Lattice parameters (Å, degrees): 4.713 4.713 4.714 90.00 90.00 90.00
Space group P4/mmm (No. 123)
Asymmetric unit:
Tm (0.000, 0.500, 0.000) (multiplicity 2)
Lu (0.000, 0.000, 0.500) (multiplicity 1)
Sb (0.500, 0.500, 0.500) (multiplicity 1)

Output
Density (g/cm3): 10.06
E_form (uncorrected) (eV per atom): -0.42
Spin magnetization (μB/f.u.): 0.002
Total energy (eV per atom): -4.817

=====

2.
Density functional theory data (PBE) for a geometry-optimized LuUSb2 structure.

Lattice parameters (Å, degrees): 5.218 5.218 3.790 90.00 90.00 90.00
Space group P4/mmm (No. 123)
Asymmetric unit:
Lu (0.000, 0.000, 0.000) (multiplicity 1)
U (0.500, 0.500, 0.000) (multiplicity 1)
Sb (0.000, 0.500, 0.500) (multiplicity 2)

Output
Density (g/cm3): 10.57
E_form (uncorrected) (eV per atom): -0.43
Spin magnetization (μB/f.u.): 2.776
Total energy (eV per atom): -6.439

=====

3.
Density functional theory data (PBE) for a geometry-optimized LuVSb2 structure.

Lattice parameters (Å, degrees): 3.4083 3.4083 29.9654 90.00 90.00 120.00
Space group R-3m (No. 166, hexagonal axes)
Asymmetric unit:
Lu (0.0000, 0.0000, 0.0000) (multiplicity 3)
V (0.0000, 0.0000, 0.5000) (multiplicity 3)
Sb (0.0000, 0.0000, 0.1031) (multiplicity 6)

Output
Density (g/cm3): 7.76
E_form (uncorrected) (eV per atom): 0.05
Spin magnetization (μB/f.u.): 0.005
Total energy (eV per atom): -5.426

=====

4.
Density functional theory data (PBE) for a geometry-optimized Y2LuSb structure.

Lattice parameters (Å, degrees): 4.781 4.781 4.751 90.00 90.00 90.00
Space group P4/mmm (No. 123)
Asymmetric unit:
Y (0.000, 0.500, 0.000) (multiplicity 2)
Lu (0.000, 0.000, 0.500) (multiplicity 1)
Sb (0.500, 0.500, 0.500) (multiplicity 1)

Output
Density (g/cm3): 7.25
E_form (uncorrected) (eV per atom): -0.44
Spin magnetization (μB/f.u.): 0.003
Total energy (eV per atom): -5.835

=====

- Which value of spin magnetization does entry 4 give?
  0.003 μB/f.u.